1.
Here is a crystal of Sc2BeGa2 relaxed with PBEsol from Alexandria. Energies are from meta-GGA SCAN.

Unit cell a=6.2849 b=6.2849 c=4.2622 alpha=90.00 beta=90.00 gamma=90.00
Space group P4/mbm (No. 127)
One atom of each set of equivalent atoms:
Sc 0.1689 0.3311 0.0000 x4
Be 0.0000 0.0000 0.5000 x2
Ga 0.1416 0.6416 0.5000 x4

Computed properties:
- volume (Å³/cell) = 168
- DFT formation energy (eV/atom) = -0.503


2.
Here is a crystal of MgIr2Rh relaxed with PBEsol from Alexandria. Energies are from meta-GGA SCAN.

Unit cell a=2.7442 b=4.3920 c=4.7138 alpha=90.00 beta=90.00 gamma=90.00
Space group Pmm2 (No. 25)
One atom of each set of equivalent atoms:
Mg 0.0000 0.0000 0.0000 x1
Ir 0.0000 0.5000 0.3589 x1
Ir 0.5000 0.0000 0.5029 x1
Rh 0.5000 0.5000 0.8567 x1

Computed properties:
- volume (Å³/cell) = 57
- DFT formation energy (eV/atom) = -0.255


3.
Here is a crystal of Y3Ta relaxed with PBEsol from Alexandria. Energies are from meta-GGA SCAN.

Unit cell a=3.3182 b=10.6442 c=5.8727 alpha=90.00 beta=90.00 gamma=90.00
Space group Imm2 (No. 44)
One atom of each set of equivalent atoms:
Y 0.0000 0.0000 0.0000 x2
Y 0.0000 0.2352 0.3527 x4
Ta 0.0000 0.5000 0.0273 x2

Computed properties:
- excess energy over the best structure of this formula in the dataset (eV/atom) = 0.000
- volume (Å³/cell) = 207
- DFT formation energy (eV/atom) = 0.381


4.
Here is a crystal of MgZrSc relaxed with PBEsol from Alexandria. Energies are from meta-GGA SCAN.

Unit cell a=3.2036 b=3.2036 c=13.2035 alpha=90.00 beta=90.00 gamma=90.00
Space group I4mm (No. 107)
One atom of each set of equivalent atoms:
Mg 0.0000 0.0000 0.0000 x2
Zr 0.0000 0.0000 0.3312 x2
Sc 0.0000 0.0000 0.6733 x2

Computed properties:
- excess energy over the best structure of this formula in the dataset (eV/atom) = 0.000
- volume (Å³/cell) = 136
- DFT formation energy (eV/atom) = -0.043


5.
Here is a crystal of FeSbS2 relaxed with PBEsol from Alexandria. Energies are from meta-GGA SCAN.

Unit cell a=3.3185 b=3.3185 c=23.1353 alpha=90.00 beta=90.00 gamma=120.00
Space group R-3m (No. 166, hexagonal axes)
One atom of each set of equivalent atoms:
Fe 0.0000 0.0000 0.0000 x3
Sb 0.0000 0.0000 0.5000 x3
S 0.0000 0.0000 0.3830 x6

Computed properties:
- volume (Å³/cell) = 221
- uncorrected formation energy (meV per atom) = -278


6.
Here is a crystal of Sb2AuSe relaxed with PBEsol from Alexandria. Energies are from meta-GGA SCAN.

Unit cell a=3.5934 b=4.5053 c=11.4514 alpha=90.00 beta=90.00 gamma=90.00
Space group Imm2 (No. 44)
One atom of each set of equivalent atoms:
Sb 0.0000 0.0000 0.0000 x2
Sb 0.0000 0.0000 0.2621 x2
Au 0.0000 0.0000 0.7601 x2
Se 0.0000 0.0000 0.5253 x2

Computed properties:
- volume (Å³/cell) = 185
- uncorrected formation energy (meV per atom) = -82


7.
Here is a crystal of Ba2CdCoRu relaxed with PBEsol from Alexandria. Energies are from meta-GGA SCAN.

Unit cell a=5.5739 b=5.5739 c=5.1490 alpha=90.00 beta=90.00 gamma=90.00
Space group P4/mmm (No. 123)
One atom of each set of equivalent atoms:
Ba 0.0000 0.5000 0.0000 x2
Cd 0.0000 0.0000 0.5000 x1
Co 0.5000 0.5000 0.5000 x1
Ru 0.0000 0.0000 0.0000 x1

Computed properties:
- volume (Å³/cell) = 160
- DFT formation energy (eV/atom) = 0.573


8.
Here is a crystal of CaZr4Re relaxed with PBEsol from Alexandria. Energies are from meta-GGA SCAN.

Unit cell a=8.0134 b=8.0134 c=8.0134 alpha=90.00 beta=90.00 gamma=90.00
Space group F-43m (No. 216)
One atom of each set of equivalent atoms:
Ca 0.0000 0.0000 0.0000 x4
Zr 0.1228 0.1228 0.6228 x16
Re 0.2500 0.2500 0.2500 x4

Computed properties:
- volume (Å³/cell) = 515
- DFT formation energy (eV/atom) = 0.729


9.
Here is a crystal of MgGaPdPt2 relaxed with PBEsol from Alexandria. Energies are from meta-GGA SCAN.

Unit cell a=4.5844 b=4.5844 c=4.5424 alpha=90.00 beta=90.00 gamma=90.00
Space group P4/mmm (No. 123)
One atom of each set of equivalent atoms:
Mg 0.0000 0.0000 0.0000 x1
Ga 0.5000 0.5000 0.5000 x1
Pd 0.5000 0.5000 0.0000 x1
Pt 0.0000 0.5000 0.5000 x2

Computed properties:
- volume (Å³/cell) = 95
- DFT formation energy (eV/atom) = 0.030


10.
Here is a crystal of SiRh2 relaxed with PBEsol from Alexandria. Energies are from meta-GGA SCAN.

Unit cell a=3.9355 b=3.9355 c=2.7985 alpha=90.00 beta=90.00 gamma=90.00
Space group P4/mmm (No. 123)
One atom of each set of equivalent atoms:
Si 0.0000 0.0000 0.0000 x1
Rh 0.0000 0.5000 0.5000 x2

Computed properties:
- volume (Å³/cell) = 43
- uncorrected formation energy (meV per atom) = -506


11.
Here is a crystal of YVB4 relaxed with PBEsol from Alexandria. Energies are from meta-GGA SCAN.

Unit cell a=5.9739 b=11.5689 c=3.3966 alpha=90.00 beta=90.00 gamma=90.00
Space group Pbam (No. 55)
One atom of each set of equivalent atoms:
Y 0.1243 0.1515 0.0000 x4
V 0.1273 0.4170 0.0000 x4
B 0.0230 0.6923 0.5000 x4
B 0.1147 0.5474 0.5000 x4
B 0.1356 0.9673 0.5000 x4
B 0.2141 0.8143 0.5000 x4

Computed properties:
- volume (Å³/cell) = 235
- DFT formation energy (eV/atom) = -0.770


12.
Here is a crystal of YS2N relaxed with PBEsol from Alexandria. Energies are from meta-GGA SCAN.

Unit cell a=3.9902 b=3.9902 c=18.2562 alpha=90.00 beta=90.00 gamma=120.00
Space group R-3m (No. 166, hexagonal axes)
One atom of each set of equivalent atoms:
Y 0.0000 0.0000 0.0000 x3
S 0.0000 0.0000 0.4134 x6
N 0.0000 0.0000 0.5000 x3

Computed properties:
- volume (Å³/cell) = 252
- uncorrected formation energy (meV per atom) = -334


13.
Here is a crystal of KW2Br relaxed with PBEsol from Alexandria. Energies are from meta-GGA SCAN.

Unit cell a=3.3122 b=5.2364 c=9.7144 alpha=90.00 beta=90.00 gamma=90.00
Space group Cmm2 (No. 35)
One atom of each set of equivalent atoms:
K 0.0000 0.0000 0.0000 x2
W 0.0000 0.0000 0.5020 x2
W 0.0000 0.5000 0.3146 x2
Br 0.0000 0.5000 0.7432 x2

Computed properties:
- excess energy over the best structure of this formula in the dataset (eV/atom) = 0.000
- volume (Å³/cell) = 168
- uncorrected formation energy (meV per atom) = 650


14.
Here is a crystal of SrHgBr4 relaxed with PBEsol from Alexandria. Energies are from meta-GGA SCAN.

Unit cell a=8.9007 b=8.9007 c=8.9007 alpha=90.00 beta=90.00 gamma=90.00
Space group F-43m (No. 216)
One atom of each set of equivalent atoms:
Sr 0.0000 0.0000 0.0000 x4
Hg 0.2500 0.2500 0.7500 x4
Br 0.1252 0.1252 0.3748 x16

Computed properties:
- volume (Å³/cell) = 705
- uncorrected formation energy (meV per atom) = -605


15.
Here is a crystal of GdLuCu2 relaxed with PBEsol from Alexandria. Energies are from meta-GGA SCAN.

Unit cell a=6.7709 b=6.7709 c=6.7709 alpha=90.00 beta=90.00 gamma=90.00
Space group Fm-3m (No. 225)
One atom of each set of equivalent atoms:
Gd 0.0000 0.0000 0.0000 x4
Lu 0.0000 0.0000 0.5000 x4
Cu 0.2500 0.2500 0.2500 x8

Computed properties:
- volume (Å³/cell) = 310
- DFT formation energy (eV/atom) = -0.266


16.
Here is a crystal of CaCuSi2 relaxed with PBEsol from Alexandria. Energies are from meta-GGA SCAN.

Unit cell a=6.7428 b=3.9017 c=5.8501 alpha=90.00 beta=112.72 gamma=90.00
Space group C2/m (No. 12)
One atom of each set of equivalent atoms:
Ca 0.0000 0.0000 0.0000 x2
Cu 0.0000 0.5000 0.5000 x2
Si 0.2130 0.0000 0.6400 x4

Computed properties:
- volume (Å³/cell) = 142
- uncorrected formation energy (meV per atom) = -286


17.
Here is a crystal of Sr2ZrFe relaxed with PBEsol from Alexandria. Energies are from meta-GGA SCAN.

Unit cell a=3.3999 b=3.3999 c=32.4021 alpha=90.00 beta=90.00 gamma=120.00
Space group R-3m (No. 166, hexagonal axes)
One atom of each set of equivalent atoms:
Sr 0.0000 0.0000 0.2406 x6
Zr 0.0000 0.0000 0.0000 x3
Fe 0.0000 0.0000 0.5000 x3

Computed properties:
- volume (Å³/cell) = 324
- DFT formation energy (eV/atom) = 0.916


18.
Here is a crystal of Be5Au relaxed with PBEsol from Alexandria. Energies are from meta-GGA SCAN.

Unit cell a=4.2420 b=4.2420 c=3.6344 alpha=90.00 beta=90.00 gamma=120.00
Space group P6/mmm (No. 191)
One atom of each set of equivalent atoms:
Be 0.0000 0.5000 0.0000 x3
Be 0.3333 0.6667 0.5000 x2
Au 0.0000 0.0000 0.5000 x1

Computed properties:
- excess energy over the best structure of this formula in the dataset (eV/atom) = 0.096
- volume (Å³/cell) = 57
- DFT formation energy (eV/atom) = -0.135


19.
Here is a crystal of Zn3TcW relaxed with PBEsol from Alexandria. Energies are from meta-GGA SCAN.

Unit cell a=4.6977 b=4.6977 c=4.6977 alpha=90.00 beta=90.00 gamma=90.00
Space group Pm-3m (No. 221)
One atom of each set of equivalent atoms:
Zn 0.0000 0.0000 0.5000 x3
Tc 0.5000 0.5000 0.5000 x1
W 0.0000 0.0000 0.0000 x1

Computed properties:
- volume (Å³/cell) = 104
- DFT formation energy (eV/atom) = 1.705


20.
Here is a crystal of Rb3Sc2Br9 relaxed with PBEsol from Alexandria. Energies are from meta-GGA SCAN.

Unit cell a=7.4630 b=7.4630 c=18.9589 alpha=90.00 beta=90.00 gamma=120.00
Space group P6_3/mmc (No. 194)
One atom of each set of equivalent atoms:
Rb 0.0000 0.0000 0.2500 x2
Rb 0.3333 0.6667 0.0677 x4
Sc 0.3333 0.6667 0.6557 x4
Br 0.0117 0.5058 0.7500 x6
Br 0.1656 0.3312 0.5863 x12

Computed properties:
- volume (Å³/cell) = 914
- uncorrected formation energy (meV per atom) = -1974


21.
Here is a crystal of Na2As2Pd relaxed with PBEsol from Alexandria. Energies are from meta-GGA SCAN.

Unit cell a=6.4036 b=6.4036 c=4.8111 alpha=90.00 beta=90.00 gamma=90.00
Space group P4/mbm (No. 127)
One atom of each set of equivalent atoms:
Na 0.1740 0.3260 0.0000 x4
As 0.1383 0.6383 0.5000 x4
Pd 0.0000 0.0000 0.5000 x2

Computed properties:
- volume (Å³/cell) = 197
- DFT formation energy (eV/atom) = -0.553


22.
Here is a crystal of Ta3Rh relaxed with PBEsol from Alexandria. Energies are from meta-GGA SCAN.

Unit cell a=2.8640 b=2.8640 c=9.4205 alpha=90.00 beta=90.00 gamma=120.00
Space group P-6m2 (No. 187)
One atom of each set of equivalent atoms:
Ta 0.0000 0.0000 0.0000 x1
Ta 0.6667 0.3333 0.2678 x2
Rh 0.0000 0.0000 0.5000 x1

Computed properties:
- volume (Å³/cell) = 67
- DFT formation energy (eV/atom) = 0.004


23.
Here is a crystal of In4Ag relaxed with PBEsol from Alexandria. Energies are from meta-GGA SCAN.

Unit cell a=6.3967 b=6.3967 c=6.3967 alpha=90.00 beta=90.00 gamma=90.00
Space group Im-3m (No. 229)
One atom of each set of equivalent atoms:
In 0.2500 0.2500 0.2500 x8
Ag 0.0000 0.0000 0.0000 x2

Computed properties:
- excess energy over the best structure of this formula in the dataset (eV/atom) = 0.000
- volume (Å³/cell) = 262
- DFT formation energy (eV/atom) = 0.131


24.
Here is a crystal of K2Mg relaxed with PBEsol from Alexandria. Energies are from meta-GGA SCAN.

Unit cell a=15.5902 b=6.6387 c=5.8919 alpha=90.00 beta=90.00 gamma=90.00
Space group Cmcm (No. 63)
One atom of each set of equivalent atoms:
K 0.1419 0.2120 0.2500 x8
Mg 0.0000 0.3617 0.7500 x4

Computed properties:
- excess energy over the best structure of this formula in the dataset (eV/atom) = 0.000
- volume (Å³/cell) = 610
- DFT formation energy (eV/atom) = 0.185


25.
Here is a crystal of B3PF relaxed with PBEsol from Alexandria. Energies are from meta-GGA SCAN.

Unit cell a=3.7485 b=3.7485 c=3.7485 alpha=90.00 beta=90.00 gamma=90.00
Space group Pm-3m (No. 221)
One atom of each set of equivalent atoms:
B 0.0000 0.0000 0.5000 x3
P 0.5000 0.5000 0.5000 x1
F 0.0000 0.0000 0.0000 x1

Computed properties:
- volume (Å³/cell) = 53
- uncorrected formation energy (meV per atom) = 2116


26.
Here is a crystal of SnMo3H relaxed with PBEsol from Alexandria. Energies are from meta-GGA SCAN.

Unit cell a=4.0669 b=4.0669 c=4.0669 alpha=90.00 beta=90.00 gamma=90.00
Space group Pm-3m (No. 221)
One atom of each set of equivalent atoms:
Sn 0.0000 0.0000 0.0000 x1
Mo 0.0000 0.5000 0.5000 x3
H 0.5000 0.5000 0.5000 x1

Computed properties:
- calculated total energy (eV per cell) = -142.7
- volume (Å³/cell) = 67


27.
Here is a crystal of CaFeTc2 relaxed with PBEsol from Alexandria. Energies are from meta-GGA SCAN.

Unit cell a=5.3039 b=9.2604 c=2.5744 alpha=90.00 beta=106.95 gamma=90.00
Space group C2/m (No. 12)
One atom of each set of equivalent atoms:
Ca 0.0000 0.0000 0.0000 x2
Fe 0.0000 0.5000 0.0000 x2
Tc 0.2500 0.2500 0.5000 x4

Computed properties:
- excess energy over the best structure of this formula in the dataset (eV/atom) = 0.250
- volume (Å³/cell) = 121
- DFT formation energy (eV/atom) = 0.598